(1)
CdTc2Cl: optimized geometry, PBE-GGA.

Values from the calculation:
Raw formation energy = 0.770 eV/atom
E above lowest polymorph = 0.7822 eV per atom
E_tot = -0.3751 Ry per atom

a = 2.867 Å, b = 4.855 Å, c = 6.907 Å
α = 45.41°, β = 90.00°, γ = 90.00°
Sites, in units of the cell vectors:
1 Tc 0.500 0.500 0.000
2 Cd 0.500 0.500 0.500
3 Cl 0.000 0.000 0.500
4 Tc 0.000 0.000 0.000

(2)
HfAsPb3: optimized geometry, PBE-GGA.

Values from the calculation:
E above lowest polymorph = 0.0000 eV per atom
DFT formation energy = 0.72 eV per atom
E_tot = -0.3252 Ry per atom

a = 5.628 Å, b = 5.628 Å, c = 5.628 Å
α = 90.00°, β = 90.00°, γ = 90.00°
Sites, in units of the cell vectors:
1 As 0.500 0.500 0.500
2 Hf 0.000 0.000 0.000
3 Pb 0.000 0.000 0.500
4 Pb 0.500 0.000 0.000
5 Pb 0.000 0.500 0.000

(3)
Sm6Te4P: optimized geometry, PBE-GGA.

Values from the calculation:
Raw formation energy = -1.203 eV/atom
E_tot = -0.3978 Ry per atom

a = 8.363 Å, b = 8.363 Å, c = 8.950 Å
α = 90.00°, β = 90.00°, γ = 90.00°
Sites, in units of the cell vectors:
1 Te 0.146 0.646 0.750
2 P 0.000 0.000 0.500
3 Te 0.854 0.354 0.750
4 Sm 0.681 0.137 0.500
5 Sm 0.181 0.363 0.000
6 Sm 0.000 0.000 0.194
7 Te 0.646 0.854 0.750
8 Sm 0.500 0.500 0.694
9 Te 0.854 0.354 0.250
10 Sm 0.819 0.637 0.000
11 Sm 0.363 0.819 0.000
12 Sm 0.863 0.681 0.500
13 P 0.500 0.500 0.000
14 Sm 0.500 0.500 0.306
15 Te 0.354 0.146 0.750
16 Te 0.646 0.854 0.250
17 Sm 0.637 0.181 0.000
18 Sm 0.137 0.319 0.500
19 Te 0.354 0.146 0.250
20 Te 0.146 0.646 0.250
21 Sm 0.319 0.863 0.500
22 Sm 0.000 0.000 0.806

(4)
Pr2Ta3Se2O8: optimized geometry, PBE-GGA.

Values from the calculation:
Raw formation energy = -2.725 eV/atom
E_tot = -0.6498 Ry per atom

a = 7.682 Å, b = 10.001 Å, c = 12.016 Å
α = 90.00°, β = 90.00°, γ = 90.00°
Sites, in units of the cell vectors:
1 Pr 0.000 0.210 0.343
2 Pr 0.500 0.290 0.843
3 O 0.500 0.635 0.949
4 Ta 0.215 0.500 0.500
5 Se 0.000 0.023 0.138
6 O 0.500 0.150 0.549
7 Ta 0.250 0.364 0.083
8 O 0.252 0.712 0.776
9 O 0.000 0.650 0.951
10 O 0.000 0.865 0.449
11 O 0.248 0.212 0.724
12 Pr 0.000 0.790 0.657
13 O 0.752 0.788 0.276
14 Se 0.500 0.523 0.362
15 Ta 0.250 0.136 0.583
16 O 0.246 0.556 0.103
17 Ta 0.250 0.636 0.917
18 Pr 0.500 0.227 0.351
19 O 0.748 0.288 0.224
20 O 0.746 0.944 0.603
21 Pr 0.500 0.710 0.157
22 O 0.754 0.444 0.897
23 O 0.252 0.288 0.224
24 O 0.235 0.697 0.525
25 Se 0.000 0.480 0.663
26 O 0.254 0.944 0.603
27 Se 0.000 0.977 0.862
28 O 0.265 0.197 0.975
29 Ta 0.750 0.636 0.917
30 O 0.735 0.197 0.975
31 Ta 0.285 0.000 0.000
32 Pr 0.500 0.773 0.649
33 O 0.246 0.444 0.897
34 O 0.000 0.350 0.049
35 Ta 0.250 0.864 0.417
36 O 0.748 0.712 0.776
37 O 0.754 0.556 0.103
38 O 0.500 0.365 0.051
39 Ta 0.750 0.864 0.417
40 O 0.000 0.135 0.551
41 Se 0.500 0.980 0.837
42 O 0.265 0.803 0.025
43 O 0.235 0.303 0.475
44 O 0.254 0.056 0.397
45 Pr 0.000 0.273 0.851
46 O 0.752 0.212 0.724
47 Ta 0.785 0.500 0.500
48 O 0.765 0.697 0.525
49 Ta 0.750 0.136 0.583
50 Se 0.500 0.020 0.163
51 O 0.248 0.788 0.276
52 O 0.500 0.850 0.451
53 Se 0.000 0.520 0.337
54 O 0.735 0.803 0.025
55 O 0.746 0.056 0.397
56 Ta 0.715 0.000 0.000
57 Ta 0.750 0.364 0.083
58 Se 0.500 0.477 0.638
59 O 0.765 0.303 0.475
60 Pr 0.000 0.727 0.149

> Which of these has the lowest E_tot?

Pr2Ta3Se2O8